# 1
First-principles (GGA-PBE) data for crystalline TeIr at its relaxed geometry, as listed in Alexandria.

POSCAR file:
```
TeIr
1.0
5.504 0.010 0.000
2.540 4.882 0.000
-4.022 -2.446 2.852
Ir Te
2 2
Direct
0.000 0.000 0.000
0.250 0.750 0.500
0.500 0.500 0.000
0.750 0.250 0.500
```

# 2
First-principles (GGA-PBE) data for crystalline Pa3TcAs at its relaxed geometry, as listed in Alexandria.

POSCAR file:
```
Pa3TcAs
1.0
-1.125 2.261 -2.628
5.170 -3.304 -5.056
-7.005 -4.227 -0.638
Pa Tc As
6 2 2
Direct
0.750 0.576 0.378
0.250 0.424 0.622
0.750 0.327 0.936
0.250 0.951 0.792
0.250 0.673 0.064
0.750 0.049 0.208
0.250 0.299 0.191
0.750 0.701 0.809
0.250 0.871 0.411
0.750 0.129 0.589
```

Summary:
Energy of formation ... -0.29 eV per atom

# 3
First-principles (GGA-PBE) data for crystalline NdDyErSc at its relaxed geometry, as listed in Alexandria.

POSCAR file:
```
NdDyErSc
1.0
-2.490 4.626 -1.838
-2.674 -0.031 -4.881
-5.556 0.306 -0.131
Sc Dy Nd Er
1 1 1 1
Direct
0.000 0.000 0.000
0.250 0.250 0.250
0.750 0.750 0.750
0.500 0.500 0.500
```

Summary:
Energy of formation ... 0.11 eV per atom

no.,E_tot (eV per atom)
1,-5.36
2,-8.99
3,-4.96